1.
CaFePt2 after structural relaxation, computed with GGA-PBEsol.

Cell lengths 2.8266, 5.0973, 4.8476 Å; angles 101.22, 90.00, 106.10 degrees
Atoms (fractional coordinates):
Pt 0.2637 0.5273 0.7389
Ca 0.5077 0.0154 0.5328
Fe 0.7295 0.4590 0.1900
Pt 0.9992 0.9983 0.0383

Values from the calculation:
Its total energy is -6.454 eV/atom. Its crystal system is monoclinic. As for the space group: Cm (8). The formation energy comes out at -0.20 eV per atom. The value obtained for the total magnetization is 3.3 μB/f.u.

---

2.
Bi2O3 after structural relaxation, computed with GGA-PBEsol.

Cell lengths 7.2629, 9.1179, 9.9876 Å; angles 102.86, 90.00, 90.00 degrees
Atoms (fractional coordinates):
Bi 0.3731 0.5729 0.1607
O 0.9465 0.2742 0.1511
O 0.9340 0.7204 0.5737
Bi 0.8789 0.2019 0.5720
O 0.3032 0.7850 0.6213
O 0.3450 0.0692 0.4667
O 0.8032 0.2150 0.8787
Bi 0.6211 0.2019 0.0720
Bi 0.6269 0.4271 0.8393
Bi 0.1211 0.7981 0.4280
Bi 0.3789 0.7981 0.9280
O 0.3606 0.1842 0.2145
O 0.6968 0.2150 0.3787
O 0.0535 0.7258 0.8489
O 0.5535 0.2742 0.6511
O 0.1550 0.0692 0.9667
O 0.6394 0.8158 0.7855
O 0.8679 0.4351 0.6782
O 0.8606 0.8158 0.2855
Bi 0.4107 0.0714 0.6845
Bi 0.5893 0.9286 0.3155
Bi 0.8731 0.4271 0.3393
O 0.4465 0.7258 0.3489
Bi 0.6008 0.7115 0.5700
O 0.0660 0.2796 0.4263
O 0.8450 0.9308 0.0333
O 0.3679 0.5649 0.8218
O 0.1968 0.7850 0.1213
O 0.1321 0.5649 0.3218
Bi 0.8992 0.7115 0.0700
O 0.6321 0.4351 0.1782
O 0.5660 0.7204 0.0737
O 0.1394 0.1842 0.7145
O 0.4340 0.2796 0.9263
Bi 0.1008 0.2885 0.9300
O 0.6550 0.9308 0.5333
Bi 0.3992 0.2885 0.4300
Bi 0.0893 0.0714 0.1845
Bi 0.9107 0.9286 0.8155
Bi 0.1269 0.5729 0.6607

Values from the calculation:
The raw formation energy is -117.9 kJ per mole of atoms. Its total energy is -6.085 eV/atom. Its crystal system is monoclinic. As for the space group: P2_1/c (14). The value obtained for the total magnetization is 0.0 μB/f.u.

---

3.
ZrCuSnPd2 after structural relaxation, computed with GGA-PBEsol.

Cell lengths 4.8226, 4.8226, 5.2723 Å; angles 90.00, 90.00, 90.00 degrees
Atoms (fractional coordinates):
Pd 0.0000 0.5000 0.0000
Cu 0.5000 0.5000 0.5000
Sn 0.0000 0.0000 0.0000
Pd 0.5000 0.0000 0.0000
Zr 0.0000 0.0000 0.5000

Values from the calculation:
Its total energy is -4.888 eV/atom. Its crystal system is tetragonal. As for the space group: P4/mmm (123). The formation energy comes out at 1.03 eV per atom. The value obtained for the total magnetization is 0.0 μB/f.u.

---

4.
Mg2In after structural relaxation, computed with GGA-PBEsol.

Cell lengths 9.2674, 9.2674, 9.2674 Å; angles 60.00, 60.00, 60.00 degrees
Atoms (fractional coordinates):
Mg 0.1949 0.8051 0.1949
In 0.4057 0.7829 0.4057
Mg 0.6250 0.6250 0.1250
In 0.7829 0.4057 0.4057
Mg 0.6250 0.6250 0.6250
Mg 0.8051 0.1949 0.8051
Mg 0.0551 0.4449 0.4449
In 0.4671 0.8443 0.8443
In 0.4057 0.4057 0.7829
In 0.8443 0.8443 0.8443
In 0.4057 0.4057 0.4057
Mg 0.0551 0.4449 0.0551
Mg 0.4449 0.4449 0.0551
Mg 0.8051 0.8051 0.1949
Mg 0.0551 0.0551 0.4449
In 0.8443 0.8443 0.4671
Mg 0.8051 0.1949 0.1949
Mg 0.1949 0.1949 0.8051
In 0.8443 0.4671 0.8443
Mg 0.6250 0.1250 0.6250
Mg 0.4449 0.0551 0.0551
Mg 0.1250 0.6250 0.6250
Mg 0.1949 0.8051 0.8051
Mg 0.4449 0.0551 0.4449

Values from the calculation:
Its total energy is -2.188 eV/atom. Its crystal system is cubic. As for the space group: Fd-3m (227). The formation energy comes out at -0.05 eV per atom. The value obtained for the total magnetization is 0.0 μB/f.u.